# Cr3NO8

An optimized crystal structure of Cr3NO8 (PBE+U, the Alexandria database).

Summary:
E   -6.521 eV/atom
ρ   2.6 g/cm3
Fermi-level density of states   0.552 states/eV/f.u.

a = 5.229 Å, b = 5.229 Å, c = 7.861 Å
α = 85.34°, β = 85.34°, γ = 62.91°
Positions (direct):
1 O 0.267 0.776 0.169
2 O 0.326 0.326 0.610
3 O 0.776 0.267 0.169
4 O 0.220 0.220 0.941
5 O 0.733 0.224 0.831
6 O 0.224 0.733 0.831
7 O 0.674 0.674 0.390
8 O 0.780 0.780 0.059
9 Cr 0.628 0.628 0.199
10 Cr 0.372 0.372 0.801
11 Cr 0.000 0.000 0.000
12 N 0.000 0.000 0.500